Record 1
## LiHo2Be (PBE)

Data for a relaxed structure of LiHo2Be.

Cell: 7.0118 7.0118 7.0118 Å, 90.00 90.00 90.00°
Closest atoms and distances in Å follow each position.
Space group Fm-3m (No. 225)
Symmetry-distinct sites (fractional):
1 Li 0.0000 0.0000 0.0000 x4  8 Ho 3.04
2 Ho 0.2500 0.2500 0.2500 x8  4 Li 3.04, 4 Be 3.04
3 Be 0.0000 0.0000 0.5000 x4  8 Ho 3.04

Output
Spin magnetization ... 0.00 μB per formula unit
Distance to the lowest polymorph of the same formula ... 17 kJ/mol of formula units
Formation enthalpy at 0 K ... 0.13 eV per atom


Record 2
## LiZr2N (PBE)

Data for a relaxed structure of LiZr2N.

Cell: 3.2235 3.2235 25.6944 Å, 90.00 90.00 120.00°
Closest atoms and distances in Å follow each position.
Space group R-3m (No. 166, hexagonal axes)
Symmetry-distinct sites (fractional):
1 Li 0.0000 0.0000 0.0000 x3  2 Zr 3.01, 6 Li 3.22
2 Zr 0.0000 0.0000 0.1172 x6  3 N 2.25
3 N 0.0000 0.0000 0.5000 x3  6 Zr 2.25

Output
Spin magnetization ... 0.00 μB per formula unit
ΔE_f (raw) ... -58.1 kJ/mol of atoms


Record 3
## MgPt2W (PBE)

Data for a relaxed structure of MgPt2W.

Cell: 3.3251 3.3251 5.8991 Å, 90.00 90.00 90.00°
Closest atoms and distances in Å follow each position.
Space group P4mm (No. 99)
Symmetry-distinct sites (fractional):
1 Mg 0.0000 0.0000 0.0000 x1  6 Pt 2.68-2.98, 4 W 2.95
2 Pt 0.0000 0.0000 0.4956 x1  4 W 2.64, 4 Pt 2.87, 1 Mg 2.92
3 Pt 0.5000 0.5000 0.2176 x1  4 Mg 2.68, 1 W 2.84, 4 Pt 2.87
4 W 0.5000 0.5000 0.6988 x1  5 Pt 2.64-2.84, 4 Mg 2.95

Output
Spin magnetization ... 0.00 μB per formula unit
Formation enthalpy at 0 K ... -0.11 eV per atom


Record 4
## Cd2Fe4Te (PBE)

Data for a relaxed structure of Cd2Fe4Te.

Cell: 4.6470 4.6470 13.6720 Å, 90.00 90.00 90.00°
Closest atoms and distances in Å follow each position.
Space group I4/mmm (No. 139)
Symmetry-distinct sites (fractional):
1 Cd 0.0000 0.0000 0.1252 x4  5 Fe 2.61-2.89
2 Fe 0.0000 0.0000 0.3160 x4  1 Te 2.52, 1 Cd 2.61
3 Fe 0.0000 0.5000 0.0000 x4  2 Te 2.32
4 Te 0.0000 0.0000 0.5000 x2  6 Fe 2.32-2.52

Output
Spin magnetization ... 10.01 μB per formula unit
ΔE_f (raw) ... 101.1 kJ/mol of atoms


Record 5
## PmNd6Dy3Tm2 (PBE)

Data for a relaxed structure of PmNd6Dy3Tm2.

Cell: 6.2719 10.8624 11.8722 Å, 90.00 100.11 90.00°
Closest atoms and distances in Å follow each position.
Space group C2/m (No. 12)
Symmetry-distinct sites (fractional):
1 Pm 0.0000 0.0000 0.0000 x2  6 Nd 3.59-3.60, 6 Tm 3.62
2 Nd 0.2489 0.3329 0.7498 x8  3 Dy 3.59, 2 Tm 3.59, 1 Pm 3.60, 6 Nd 3.62-3.63
3 Nd 0.2500 0.0000 0.7501 x4  1 Pm 3.59, 2 Tm 3.59, 3 Dy 3.59-3.60, 6 Nd 3.62-3.63
4 Dy 0.0000 0.1669 0.5000 x4  6 Nd 3.59-3.60, 6 Dy 3.62
5 Dy 0.0000 0.5000 0.5000 x2  6 Nd 3.59, 6 Dy 3.62
6 Tm 0.0000 0.3334 0.0000 x4  6 Nd 3.59, 3 Tm 3.62, 3 Pm 3.62

Output
Spin magnetization ... 0.00 μB per formula unit
Formation enthalpy at 0 K ... 0.01 eV per atom


Record 6
## BaRh2Se2 (PBE)

Data for a relaxed structure of BaRh2Se2.

Cell: 4.2073 4.2073 12.4484 Å, 90.00 90.00 90.00°
Closest atoms and distances in Å follow each position.
Space group I4/mmm (No. 139)
Symmetry-distinct sites (fractional):
1 Ba 0.0000 0.0000 0.0000 x2  8 Se 3.44, 8 Rh 3.76
2 Rh 0.0000 0.5000 0.2500 x4  4 Se 2.52
3 Se 0.0000 0.0000 0.3620 x4  4 Rh 2.52

Output
Spin magnetization ... 1.03 μB per formula unit
Distance to the lowest polymorph of the same formula ... 0 kJ/mol of formula units
ΔE_f (raw) ... -68.5 kJ/mol of atoms